[1]
Pa5Tc3H12 (PBE, optimized geometry); crystal system = cubic; calculated total energy = -468.9 eV per cell
1.0
-6.894 -4.986 -5.921
0.308 -4.388 9.386
-2.787 9.941 0.924
H Tc Pa
48 12 20
Cartesian
-5.400 -3.423 -2.971
-3.348 2.566 4.719
-8.011 -0.736 3.328
-1.363 1.303 1.061
-6.025 -1.999 -0.330
-3.459 0.123 3.968
-5.915 0.444 0.420
-5.815 -7.423 3.992
-1.814 -3.091 4.745
-2.891 5.958 4.428
-3.625 0.372 0.312
-6.811 -3.570 -1.806
-6.255 -5.677 3.635
-2.563 4.136 6.194
-3.974 3.990 7.360
-5.132 -1.163 -2.690
-6.658 4.943 0.594
-2.716 -4.377 3.794
-2.580 -2.706 2.229
-6.794 3.273 2.160
-4.700 -1.640 3.185
-1.034 -1.977 2.898
-0.481 -2.721 8.256
-4.242 1.730 7.078
-3.118 6.244 0.753
-3.957 5.431 3.029
-4.923 3.178 5.436
-8.340 2.543 1.490
-5.749 0.194 4.077
-7.972 1.744 -4.240
-6.109 1.639 -0.960
-5.337 -0.210 5.820
-4.224 2.845 -0.458
-6.483 -5.391 -0.040
-1.402 -1.177 8.629
-5.417 -4.864 1.359
-5.150 -2.278 4.846
-4.037 0.776 -1.431
-8.893 3.288 -3.867
-6.924 -1.341 -2.335
-1.422 3.081 1.515
-7.560 3.658 -0.356
-4.450 -2.612 -1.048
-2.449 1.907 6.724
-3.265 -1.072 5.348
-7.952 -2.514 2.874
-3.559 7.990 0.397
-4.674 2.207 1.204
-4.097 1.052 5.396
-2.683 2.993 8.165
-5.404 -4.142 -0.806
-2.730 1.933 0.039
-5.277 -0.485 -1.008
-3.224 6.978 2.414
-6.643 -1.366 4.349
-3.090 -2.127 3.877
-6.150 -6.411 1.974
-6.284 2.694 0.512
-3.970 4.709 5.194
-6.691 -2.426 -3.777
-7.931 0.350 1.378
-3.447 -2.493 -2.960
-3.350 3.321 2.617
-6.517 2.291 4.147
-7.698 0.753 -2.257
0.000 0.000 0.000
-4.736 -4.471 4.743
-6.023 -2.754 1.772
-7.571 4.410 -2.459
-4.637 5.037 -0.354
-1.443 0.216 3.010
0.154 -2.194 4.693
-4.841 2.478 -2.499
-1.676 -0.187 6.646
-4.687 0.283 2.194
-3.293 -4.687 1.732
-2.857 -1.724 0.242
-1.240 2.776 5.155
-1.802 -3.844 6.848
-1.394 4.970 0.462

[2]
PaTcH4 (PBE, optimized geometry); crystal system = orthorhombic; distance to the lowest polymorph of the same formula = 0.0000 eV per atom; calculated total energy = -69.4 eV per cell
1.0
-2.764 -2.688 0.842
0.052 -1.413 -4.341
5.738 -2.707 0.950
H Pa Tc
8 2 2
Cartesian
1.829 -2.342 -1.470
1.807 -1.722 0.436
0.000 0.000 0.000
3.594 -3.684 0.042
-0.569 -3.124 -2.591
1.218 -5.086 -2.985
0.026 -0.707 -2.171
1.196 -4.466 -1.079
-0.190 -2.794 -0.293
3.215 -4.014 -2.256
2.033 -4.861 0.406
0.992 -1.947 -2.956

[3]
Pa2TcH (PBE, optimized geometry); crystal system = trigonal; distance to the lowest polymorph of the same formula = 0.3657 eV per atom; calculated total energy = -31.6 eV per cell
1.0
-0.089 -3.258 -2.198
-1.629 -3.285 1.419
-6.969 -0.179 -2.968
Pa H Tc
2 1 1
Cartesian
-3.587 -5.958 -1.571
-5.100 -0.764 -2.177
0.000 0.000 0.000
-4.343 -3.361 -1.874

[4]
PaTcH (PBE, optimized geometry); crystal system = tetragonal; distance to the lowest polymorph of the same formula = 0.0296 eV per atom; calculated total energy = -45.6 eV per cell
1.0
-1.185 4.278 -0.291
-4.284 -1.195 -0.125
-0.243 0.302 5.430
Tc H Pa
2 2 2
Cartesian
-2.941 1.740 2.500
-2.819 1.590 -0.214
-0.148 0.124 1.351
-0.269 0.275 4.066
-0.738 2.263 1.206
-2.410 -0.324 4.003

[5]
PaTcH4 (PBE, optimized geometry); crystal system = cubic; distance to the lowest polymorph of the same formula = 0.7324 eV per atom; calculated total energy = -30.3 eV per cell
1.0
-1.505 -3.947 -0.796
1.130 -3.283 2.534
-2.892 -1.770 2.641
H Tc Pa
4 1 1
Cartesian
-2.042 -5.622 2.737
-0.598 -4.739 1.418
-2.605 -3.984 1.472
-1.290 -3.653 3.134
0.000 0.000 0.000
-0.817 -2.250 1.095

[6]
PaTc3H (PBE, optimized geometry); crystal system = cubic; calculated total energy = -44.0 eV per cell
1.0
-3.371 2.362 -0.161
-1.571 -2.022 3.227
1.772 2.702 2.555
Pa H Tc
1 1 3
Cartesian
-1.585 1.521 2.811
0.000 0.000 0.000
0.886 1.351 1.278
-1.685 1.181 -0.080
-0.785 -1.011 1.614

[7]
PaTc2H (PBE, optimized geometry); crystal system = trigonal; distance to the lowest polymorph of the same formula = 0.0000 eV per atom; calculated total energy = -31.7 eV per cell
1.0
4.648 0.000 0.000
2.324 4.026 0.000
2.324 1.342 3.868
H Tc Pa
1 2 1
Cartesian
0.000 0.000 0.000
2.324 1.342 2.217
6.973 4.026 1.650
4.648 2.684 1.934

[8]
Pa5Te5H2 (PBE, optimized geometry); crystal system = monoclinic; calculated total energy = -76.1 eV per cell
1.0
3.827 0.000 0.000
-1.914 6.796 0.867
0.000 -2.048 10.702
Pa Te H
5 5 2
Cartesian
0.000 0.000 0.000
0.000 0.821 3.695
1.914 0.231 9.033
1.914 3.927 7.874
0.000 4.517 2.535
0.000 2.689 10.103
1.914 3.174 4.658
0.000 1.575 6.910
1.914 -1.024 5.351
1.914 2.060 1.465
0.000 -1.129 8.610
1.914 5.878 2.958

[9]
Pa2TeH (PBE, optimized geometry); crystal system = trigonal; calculated total energy = -26.6 eV per cell
1.0
-1.893 0.368 -3.020
-2.062 -2.690 -1.160
-7.136 1.968 2.587
H Te Pa
1 1 2
Cartesian
0.000 0.000 0.000
-5.545 -0.178 -0.796
-2.433 -0.249 -0.631
-8.658 -0.106 -0.962

[10]
Pa3Te6H (PBE, optimized geometry); crystal system = orthorhombic; calculated total energy = -113.1 eV per cell
1.0
-6.954 0.526 -2.162
-1.115 -9.189 1.349
-2.356 3.379 8.398
Te Pa H
12 6 2
Cartesian
-7.144 -6.441 3.421
-3.661 3.019 7.719
-3.578 -4.289 5.794
-7.157 -2.990 5.294
-2.424 -2.358 2.554
-5.988 -8.362 0.107
-4.237 -0.940 7.735
-2.596 -6.111 2.657
-6.724 0.743 5.272
-2.997 1.136 4.253
-5.904 -4.366 -0.062
-6.003 -1.059 2.054
-6.237 -5.826 6.321
-9.962 -3.049 6.650
-7.741 -3.680 2.274
-7.660 0.805 0.185
-4.509 -1.466 4.744
-3.935 -1.973 -0.144
-8.302 0.565 4.604
-4.234 -5.689 2.325

[11]
PaTe2H (PBE, optimized geometry); crystal system = trigonal; distance to the lowest polymorph of the same formula = 0.7530 eV per atom; calculated total energy = -19.3 eV per cell
1.0
4.297 0.000 0.000
2.149 3.721 0.000
2.149 1.240 7.281
Pa Te H
1 2 1
Cartesian
0.000 0.000 0.000
6.446 3.721 5.453
2.149 1.240 1.828
4.297 2.481 3.640

[12]
Pa4Te5H (PBE, optimized geometry); crystal system = monoclinic; calculated total energy = -62.1 eV per cell
1.0
-3.244 2.296 -0.667
-3.121 -5.872 -5.039
-1.661 -3.473 8.294
Pa Te H
4 5 1
Cartesian
-5.271 -7.134 1.074
-5.546 -2.412 6.494
-2.754 0.086 1.514
-2.479 -4.636 -3.906
-5.819 -4.203 1.652
-3.735 -5.649 -1.288
-4.291 -1.399 3.876
-3.182 -1.788 -2.853
-2.207 -2.845 0.936
-1.622 1.148 -0.334

[13]
Pa3TeH3 (PBE, optimized geometry); crystal system = cubic; calculated total energy = -87.3 eV per cell
1.0
6.116 0.000 0.000
0.000 6.116 0.000
0.000 0.000 6.116
H Pa Te
6 6 2
Cartesian
3.058 1.529 0.000
0.000 3.058 4.587
3.058 4.587 0.000
0.000 3.058 1.529
1.529 0.000 3.058
4.587 0.000 3.058
0.000 4.587 3.058
1.529 3.058 0.000
3.058 0.000 1.529
0.000 1.529 3.058
3.058 0.000 4.587
4.587 3.058 0.000
3.058 3.058 3.058
0.000 0.000 0.000

[14]
Pa3TeH (PBE, optimized geometry); crystal system = cubic; calculated total energy = -36.7 eV per cell
1.0
4.644 0.000 0.000
0.000 4.644 0.000
0.000 0.000 4.644
Pa H Te
3 1 1
Cartesian
0.000 0.000 2.322
2.322 0.000 0.000
0.000 2.322 0.000
0.000 0.000 0.000
2.322 2.322 2.322

[15]
PaTeH3 (PBE, optimized geometry); crystal system = orthorhombic; calculated total energy = -48.0 eV per cell
1.0
4.586 0.000 2.241
2.314 5.357 1.076
-0.058 -0.159 5.931
H Te Pa
6 2 2
Cartesian
3.061 2.012 5.362
2.264 -0.080 4.086
3.781 3.186 3.887
2.064 4.524 1.589
-0.029 -0.080 2.966
4.778 0.674 7.660
1.128 2.599 3.504
2.293 0.000 1.120
2.926 4.100 5.638
3.916 1.097 3.611

[16]
PaTe2H2 (PBE, optimized geometry); crystal system = trigonal; calculated total energy = -25.1 eV per cell
1.0
3.760 0.000 1.079
1.725 3.341 1.079
-0.207 -0.126 7.810
Te Pa H
2 1 2
Cartesian
2.212 1.347 6.473
3.066 1.868 3.496
0.000 0.000 0.000
1.714 1.044 1.119
3.564 2.171 8.850

[17]
PaTe2H (PBE, optimized geometry); crystal system = monoclinic; distance to the lowest polymorph of the same formula = 0.0000 eV per atom; calculated total energy = -22.3 eV per cell
1.0
-1.478 -3.691 0.580
1.700 1.986 3.052
-6.239 4.735 0.380
Te H Pa
2 1 1
Cartesian
0.875 1.167 2.717
-4.396 0.762 0.626
-1.552 1.864 0.970
-1.969 0.065 2.373

[18]
Pa2TeH2 (PBE, optimized geometry); crystal system = orthorhombic; calculated total energy = -61.4 eV per cell
1.0
6.276 -0.180 0.000
-3.069 5.478 0.000
-1.604 -2.649 5.084
H Pa Te
4 4 2
Cartesian
-2.574 3.368 2.542
-2.029 4.848 0.000
-0.495 2.110 2.542
5.237 0.449 0.000
-1.534 2.739 0.658
1.604 2.649 3.200
-1.534 2.739 4.426
0.000 0.000 1.884
1.604 2.649 0.000
3.138 -0.090 2.542

[19]
ThPa2H (PBE, optimized geometry); crystal system = tetragonal; distance to the lowest polymorph of the same formula = 0.2331 eV per atom; calculated total energy = -28.9 eV per cell
1.0
3.217 0.000 0.000
0.000 3.217 0.000
0.000 0.000 8.104
H Th Pa
1 1 2
Cartesian
1.608 1.608 0.000
1.608 1.608 4.052
0.000 0.000 6.688
0.000 0.000 1.416

[20]
ThPa3H (PBE, optimized geometry); crystal system = cubic; calculated total energy = -39.3 eV per cell
1.0
-3.794 0.893 -2.822
2.782 -0.492 -3.895
-1.012 -4.703 -0.128
Pa H Th
3 1 1
Cartesian
-0.506 -2.351 -0.064
-1.897 0.447 -1.411
1.391 -0.246 -1.948
0.000 0.000 0.000
-1.012 -2.151 -3.423